No. 1
An optimized crystal structure of FeNiSnRh, computed with PBE.

Crystal system: cubic
SG: F-43m, No. 216
DOS(E_F) (states/eV per cell): 5.1
Energy of formation from the pure elements (eV/atom): -0.128
E (eV per atom): -6.5272

The structure in extended XYZ format:
```
4
Lattice="0.0000 3.0795 3.0795 3.0795 0.0000 3.0795 3.0795 3.0795 0.0000" Properties=species:S:1:pos:R:3 pbc="T T T"
Fe 0.0000 0.0000 0.0000
Ni 1.5397 1.5397 1.5397
Sn 3.0795 3.0795 3.0795
Rh 4.6192 4.6192 4.6192
```

No. 2
An optimized crystal structure of Ta2FeNiRh, computed with PBE.

Crystal system: tetragonal
SG: P4/mmm, No. 123
DOS(E_F) (states/eV per cell): 10.3
Energy of formation from the pure elements (eV/atom): 1.199
E (eV per atom): -7.8609

The structure in extended XYZ format:
```
5
Lattice="4.4756 0.0000 0.0000 0.0000 4.4756 0.0000 0.0000 0.0000 4.4210" Properties=species:S:1:pos:R:3 pbc="T T T"
Ta 0.0000 2.2378 0.0000
Ta 2.2378 0.0000 0.0000
Fe 0.0000 0.0000 2.2105
Ni 2.2378 2.2378 0.0000
Rh 2.2378 2.2378 2.2105
```

No. 3
An optimized crystal structure of TaFeNiRh, computed with PBE.

Crystal system: orthorhombic
SG: Pmmm, No. 47
Excess energy over the best structure of this formula in the dataset (meV/atom): 0
DOS(E_F) (states/eV per cell): 1.6
Energy of formation from the pure elements (eV/atom): -0.350
E (eV per atom): -8.7116

The structure in extended XYZ format:
```
4
Lattice="3.7496 0.0000 0.0000 0.0000 3.7584 0.0000 0.0000 0.0000 3.8076" Properties=species:S:1:pos:R:3 pbc="T T T"
Ta 0.0000 0.0000 0.0000
Fe 1.8748 1.8792 0.0000
Ni 0.0000 1.8792 1.9038
Rh 1.8748 0.0000 1.9038
```

No. 4
An optimized crystal structure of TaFeNiRh, computed with PBE.

Crystal system: cubic
SG: F-43m, No. 216
Excess energy over the best structure of this formula in the dataset (meV/atom): 196
DOS(E_F) (states/eV per cell): 4.2
Energy of formation from the pure elements (eV/atom): -0.153
E (eV per atom): -8.5155

The structure in extended XYZ format:
```
4
Lattice="0.0000 3.0142 3.0142 3.0142 0.0000 3.0142 3.0142 3.0142 0.0000" Properties=species:S:1:pos:R:3 pbc="T T T"
Ta 0.0000 0.0000 0.0000
Fe 1.5071 1.5071 1.5071
Ni 3.0142 3.0142 3.0142
Rh 4.5213 4.5213 4.5213
```

No. 5
An optimized crystal structure of FeTcNiRh, computed with PBE.

Crystal system: cubic
SG: F-43m, No. 216
DOS(E_F) (states/eV per cell): 4.2
Energy of formation from the pure elements (eV/atom): 0.089
E (eV per atom): -7.9013

The structure in extended XYZ format:
```
4
Lattice="0.0000 2.9524 2.9524 2.9524 0.0000 2.9524 2.9524 2.9524 0.0000" Properties=species:S:1:pos:R:3 pbc="T T T"
Fe 0.0000 0.0000 0.0000
Tc 4.4286 4.4286 4.4286
Ni 2.9524 2.9524 2.9524
Rh 1.4762 1.4762 1.4762
```

No. 6
An optimized crystal structure of TiFeNiRh, computed with PBE.

Crystal system: cubic
SG: F-43m, No. 216
Excess energy over the best structure of this formula in the dataset (meV/atom): 145
DOS(E_F) (states/eV per cell): 5.0
Energy of formation from the pure elements (eV/atom): -0.286
E (eV per atom): -7.6581

The structure in extended XYZ format:
```
4
Lattice="0.0000 2.9942 2.9942 2.9942 0.0000 2.9942 2.9942 2.9942 0.0000" Properties=species:S:1:pos:R:3 pbc="T T T"
Ti 0.0000 0.0000 0.0000
Fe 2.9942 2.9942 2.9942
Ni 1.4971 1.4971 1.4971
Rh 4.4914 4.4914 4.4914
```

No. 7
An optimized crystal structure of TiFeNiRh, computed with PBE.

Crystal system: orthorhombic
SG: Pmmm, No. 47
Excess energy over the best structure of this formula in the dataset (meV/atom): 0
DOS(E_F) (states/eV per cell): 3.2
Energy of formation from the pure elements (eV/atom): -0.431
E (eV per atom): -7.8033

The structure in extended XYZ format:
```
4
Lattice="3.6610 0.0000 0.0000 0.0000 3.7181 0.0000 0.0000 0.0000 3.8330" Properties=species:S:1:pos:R:3 pbc="T T T"
Ti 0.0000 0.0000 0.0000
Fe 0.0000 1.8591 1.9165
Ni 1.8305 0.0000 1.9165
Rh 1.8305 1.8591 0.0000
```

No. 8
An optimized crystal structure of UFeNiRh, computed with PBE.

Crystal system: tetragonal
SG: P4/nmm, No. 129
DOS(E_F) (states/eV per cell): 8.6
Energy of formation from the pure elements (eV/atom): -0.249
E (eV per atom): -8.4698

The structure in extended XYZ format:
```
8
Lattice="3.9031 0.0000 0.0000 0.0000 3.9031 0.0000 0.0000 0.0000 7.6264" Properties=species:S:1:pos:R:3 pbc="T T T"
U 0.9758 0.9758 1.7899
U 2.9273 2.9273 5.8366
Fe 0.9758 2.9273 0.0000
Fe 2.9273 0.9758 0.0000
Ni 0.9758 2.9273 3.8132
Ni 2.9273 0.9758 3.8132
Rh 0.9758 0.9758 5.7077
Rh 2.9273 2.9273 1.9187
```

No. 9
An optimized crystal structure of V2FeNiRh2, computed with PBE.

Crystal system: orthorhombic
SG: Ibam, No. 72
DOS(E_F) (states/eV per cell): 9.2
Energy of formation from the pure elements (eV/atom): -0.102
E (eV per atom): -7.9660

The structure in extended XYZ format:
```
12
Lattice="-2.5203 6.3299 2.4768 2.5203 -6.3299 2.4768 2.5203 6.3299 -2.4768" Properties=species:S:1:pos:R:3 pbc="T T T"
V 1.0426 1.6156 0.0000
V 1.0426 -1.6156 2.4768
V 1.4777 7.9455 0.0000
V 1.4777 4.7143 2.4768
Fe 0.0000 0.0000 1.2384
Fe 0.0000 0.0000 3.7152
Ni 2.5203 0.0000 1.2384
Ni 0.0000 6.3299 1.2384
Rh 3.4833 2.2436 0.0000
Rh 0.9629 4.0863 0.0000
Rh 1.5574 2.2436 2.4768
Rh -0.9629 4.0863 2.4768
```

No. 10
An optimized crystal structure of Fe2NiRu2, computed with PBE.

Crystal system: tetragonal
SG: P4/mbm, No. 127
Excess energy over the best structure of this formula in the dataset (meV/atom): 94
DOS(E_F) (states/eV per cell): 12.7
Energy of formation from the pure elements (eV/atom): 0.405
E (eV per atom): -7.8466

The structure in extended XYZ format:
```
10
Lattice="7.0397 0.0000 0.0000 0.0000 7.0397 0.0000 0.0000 0.0000 2.6233" Properties=species:S:1:pos:R:3 pbc="T T T"
Fe 1.1771 2.3428 0.0000
Fe 2.3428 5.8626 0.0000
Fe 4.6970 1.1771 0.0000
Fe 5.8626 4.6970 0.0000
Ni 0.0000 0.0000 1.3117
Ni 3.5199 3.5199 1.3117
Ru 0.9153 4.4352 1.3117
Ru 2.6045 0.9153 1.3117
Ru 4.4352 6.1244 1.3117
Ru 6.1244 2.6045 1.3117
```

No. 11
An optimized crystal structure of Fe2NiRu2, computed with PBE.

Crystal system: tetragonal
SG: P4/mbm, No. 127
Excess energy over the best structure of this formula in the dataset (meV/atom): 0
DOS(E_F) (states/eV per cell): 14.4
Energy of formation from the pure elements (eV/atom): 0.311
E (eV per atom): -7.9403

The structure in extended XYZ format:
```
10
Lattice="6.9226 0.0000 0.0000 0.0000 6.9226 0.0000 0.0000 0.0000 2.6267" Properties=species:S:1:pos:R:3 pbc="T T T"
Fe 0.8322 2.6291 0.0000
Fe 2.6291 6.0904 0.0000
Fe 4.2935 0.8322 0.0000
Fe 6.0904 4.2935 0.0000
Ni 0.0000 0.0000 0.0000
Ni 3.4613 3.4613 0.0000
Ru 1.2048 4.6661 1.3133
Ru 2.2565 1.2048 1.3133
Ru 4.6661 5.7178 1.3133
Ru 5.7178 2.2565 1.3133
```

No. 12
An optimized crystal structure of Fe6Ni12Ru, computed with PBE.

Crystal system: trigonal
SG: R-3, No. 148
DOS(E_F) (states/eV per cell): 21.3
Energy of formation from the pure elements (eV/atom): 0.117
E (eV per atom): -6.6952

The structure in extended XYZ format:
```
19
Lattice="4.2971 2.4809 3.5255 -4.2971 2.4809 3.5255 0.0000 -4.9618 3.5255" Properties=species:S:1:pos:R:3 pbc="T T T"
Fe -1.6914 -1.7550 5.6911
Fe -2.3656 0.5873 4.8854
Fe 0.6742 -2.3423 4.8854
Fe -0.6742 2.3423 5.6911
Fe 2.3656 -0.5873 5.6911
Fe 1.6914 1.7550 4.8854
Ni -1.1832 -3.8256 4.4311
Ni -3.9046 -0.8881 6.1454
Ni -0.9278 -1.1575 3.2788
Ni -2.7214 2.9375 4.4311
Ni -0.5385 1.3822 3.2788
Ni 1.4663 -0.2247 3.2788
Ni -1.4663 0.2247 7.2977
Ni 0.5385 -1.3823 7.2977
Ni 2.7214 -2.9375 6.1454
Ni 0.9278 1.1575 7.2977
Ni 3.9046 0.8881 4.4311
Ni 1.1832 3.8256 6.1454
Ru 0.0000 0.0000 5.2883
```

No. 13
An optimized crystal structure of FeNi2Ru2, computed with PBE.

Crystal system: tetragonal
SG: P4/mbm, No. 127
DOS(E_F) (states/eV per cell): 16.5
Energy of formation from the pure elements (eV/atom): 0.485
E (eV per atom): -7.2300

The structure in extended XYZ format:
```
10
Lattice="6.7832 0.0000 0.0000 0.0000 6.7832 0.0000 0.0000 0.0000 2.7398" Properties=species:S:1:pos:R:3 pbc="T T T"
Fe 0.0000 0.0000 0.0000
Fe 3.3916 3.3916 0.0000
Ni 0.8321 2.5595 0.0000
Ni 2.5595 5.9512 0.0000
Ni 4.2237 0.8321 0.0000
Ni 5.9512 4.2237 0.0000
Ru 1.1913 4.5830 1.3699
Ru 2.2003 1.1913 1.3699
Ru 4.5830 5.5919 1.3699
Ru 5.5919 2.2003 1.3699
```

No. 14
An optimized crystal structure of FeNiRu3, computed with PBE.

Crystal system: cubic
SG: Pm-3m, No. 221
Excess energy over the best structure of this formula in the dataset (meV/atom): 0
DOS(E_F) (states/eV per cell): 7.0
Energy of formation from the pure elements (eV/atom): 1.527
E (eV per atom): -6.8868

The structure in extended XYZ format:
```
5
Lattice="4.3515 0.0000 0.0000 0.0000 4.3515 0.0000 0.0000 0.0000 4.3515" Properties=species:S:1:pos:R:3 pbc="T T T"
Fe 0.0000 0.0000 0.0000
Ni 2.1758 2.1758 2.1758
Ru 0.0000 0.0000 2.1758
Ru 0.0000 2.1758 0.0000
Ru 2.1758 0.0000 0.0000
```

No. 15
An optimized crystal structure of FeNiRu3, computed with PBE.

Crystal system: cubic
SG: Pm-3m, No. 221
Excess energy over the best structure of this formula in the dataset (meV/atom): 349
DOS(E_F) (states/eV per cell): 12.2
Energy of formation from the pure elements (eV/atom): 1.877
E (eV per atom): -6.5375

The structure in extended XYZ format:
```
5
Lattice="4.3363 0.0000 0.0000 0.0000 4.3363 0.0000 0.0000 0.0000 4.3363" Properties=species:S:1:pos:R:3 pbc="T T T"
Fe 0.0000 0.0000 0.0000
Ni 2.1682 2.1682 2.1682
Ru 0.0000 2.1682 2.1682
Ru 2.1682 0.0000 2.1682
Ru 2.1682 2.1682 0.0000
```

No. 16
An optimized crystal structure of FeNi3Ru, computed with PBE.

Crystal system: cubic
SG: Pm-3m, No. 221
Excess energy over the best structure of this formula in the dataset (meV/atom): 0
DOS(E_F) (states/eV per cell): 8.2
Energy of formation from the pure elements (eV/atom): 1.255
E (eV per atom): -5.7618

The structure in extended XYZ format:
```
5
Lattice="4.2148 0.0000 0.0000 0.0000 4.2148 0.0000 0.0000 0.0000 4.2148" Properties=species:S:1:pos:R:3 pbc="T T T"
Fe 0.0000 0.0000 0.0000
Ni 0.0000 0.0000 2.1074
Ni 0.0000 2.1074 0.0000
Ni 2.1074 0.0000 0.0000
Ru 2.1074 2.1074 2.1074
```

No. 17
An optimized crystal structure of ScFeNiRu, computed with PBE.

Crystal system: cubic
SG: F-43m, No. 216
DOS(E_F) (states/eV per cell): 3.3
Energy of formation from the pure elements (eV/atom): -0.168
E (eV per atom): -7.6312

The structure in extended XYZ format:
```
4
Lattice="0.0000 3.0597 3.0597 3.0597 0.0000 3.0597 3.0597 3.0597 0.0000" Properties=species:S:1:pos:R:3 pbc="T T T"
Sc 0.0000 0.0000 0.0000
Fe 3.0597 3.0597 3.0597
Ni 4.5895 4.5895 4.5895
Ru 1.5298 1.5298 1.5298
```

No. 18
An optimized crystal structure of FeSiNiRu, computed with PBE.

Crystal system: cubic
SG: F-43m, No. 216
DOS(E_F) (states/eV per cell): 4.4
E (eV per atom): -7.5113
E_form (uncorrected) (eV per atom): -0.276

The structure in extended XYZ format:
```
4
Lattice="0.0000 2.8989 2.8989 2.8989 0.0000 2.8989 2.8989 2.8989 0.0000" Properties=species:S:1:pos:R:3 pbc="T T T"
Fe 0.0000 0.0000 0.0000
Si 2.8989 2.8989 2.8989
Ni 4.3484 4.3484 4.3484
Ru 1.4495 1.4495 1.4495
```

No. 19
An optimized crystal structure of FeNiSnRu, computed with PBE.

Crystal system: cubic
SG: F-43m, No. 216
DOS(E_F) (states/eV per cell): 4.4
Energy of formation from the pure elements (eV/atom): 0.011
E (eV per atom): -6.8699

The structure in extended XYZ format:
```
4
Lattice="0.0000 3.0692 3.0692 3.0692 0.0000 3.0692 3.0692 3.0692 0.0000" Properties=species:S:1:pos:R:3 pbc="T T T"
Fe 0.0000 0.0000 0.0000
Ni 1.5346 1.5346 1.5346
Sn 3.0692 3.0692 3.0692
Ru 4.6037 4.6037 4.6037
```

No. 20
An optimized crystal structure of Sr2FeNiRu, computed with PBE.

Crystal system: tetragonal
SG: P4/mmm, No. 123
DOS(E_F) (states/eV per cell): 7.5
Energy of formation from the pure elements (eV/atom): 0.899
E (eV per atom): -4.4780

The structure in extended XYZ format:
```
5
Lattice="5.6127 0.0000 0.0000 0.0000 5.6127 0.0000 0.0000 0.0000 4.4695" Properties=species:S:1:pos:R:3 pbc="T T T"
Sr 0.0000 2.8064 0.0000
Sr 2.8064 0.0000 0.0000
Fe 0.0000 0.0000 2.2348
Ni 2.8064 2.8064 0.0000
Ru 2.8064 2.8064 2.2348
```